Below is an optimized crystal structure of Mg2InSb, with properties calculated at the GGA-PBEsol level.

Unit cell a=7.229 b=7.229 c=7.229 alpha=90.00 beta=90.00 gamma=90.00
Space group Fm-3m (No. 225)
Unique sites:
Mg  0.250  0.250  0.250 [8 per cell]
In  0.000  0.000  0.000 [4 per cell]
Sb  0.000  0.000  0.500 [4 per cell]

## Properties
Calculated volume, Å³/atom: 23.6
Total magnetic moment, μB per atom: 0.00
Formation energy (no corrections), meV per atom: -112.4
Energy relative to the lowest polymorph listed for this composition, eV per atom: 0.0589
D(E_F), states/eV per atom: 0.534
Total DFT energy (no corrections), eV for the cell shown: -45.70

=====

Below is an optimized crystal structure of ReAg2As, with properties calculated at the GGA-PBEsol level.

Unit cell a=2.8177 b=2.8177 c=28.1238 alpha=90.00 beta=90.00 gamma=120.00
Space group R-3m (No. 166, hexagonal axes)
Unique sites:
Re  0.0000  0.0000  0.0000 [3 per cell]
Ag  0.0000  0.0000  0.2510 [6 per cell]
As  0.0000  0.0000  0.5000 [3 per cell]

## Properties
Energy of formation from the pure elements, meV per atom: 458
Calculated volume, Å³/atom: 16.1
Total magnetic moment, μB per atom: 0.00
D(E_F), states/eV per atom: 0.574
Total DFT energy (no corrections), eV for the cell shown: -69.69

=====

Below is an optimized crystal structure of Ba2PIr, with properties calculated at the GGA-PBEsol level.

Unit cell a=4.396 b=4.890 c=10.498 alpha=90.00 beta=90.00 gamma=90.00
Space group Amm2 (No. 38)
Unique sites:
Ba  0.000  0.000  0.000 [2 per cell]
Ba  0.500  0.000  0.302 [2 per cell]
P  0.500  0.000  0.615 [2 per cell]
Ir  0.000  0.000  0.687 [2 per cell]

## Properties
Energy of formation from the pure elements, meV per atom: -624
Calculated volume, Å³/atom: 28.2
Total magnetic moment, μB per atom: 0.00
D(E_F), states/eV per atom: 0.436
Total DFT energy (no corrections), eV for the cell shown: -44.82

=====

Below is an optimized crystal structure of SeBrNF2, with properties calculated at the GGA-PBEsol level.

Unit cell a=4.706 b=4.706 c=3.635 alpha=90.00 beta=90.00 gamma=90.00
Space group P4/mmm (No. 123)
Unique sites:
Se  0.000  0.000  0.000 [1 per cell]
Br  0.500  0.500  0.500 [1 per cell]
N  0.500  0.500  0.000 [1 per cell]
F  0.000  0.500  0.500 [2 per cell]

## Properties
Calculated volume, Å³/atom: 16.1
Total magnetic moment, μB per atom: 0.56
Formation energy (no corrections), meV per atom: 793.0
D(E_F), states/eV per atom: 0.368
Total DFT energy (no corrections), eV for the cell shown: -14.14

=====

Below is an optimized crystal structure of Li3V4FeO12, with properties calculated at the GGA-PBEsol level.

Unit cell a=10.448 b=8.255 c=5.539 alpha=90.00 beta=111.52 gamma=90.00
Space group C2 (No. 5)
Unique sites:
Li  0.000  0.000  0.000 [2 per cell]
Li  0.000  0.209  0.500 [2 per cell]
Li  0.000  0.636  0.000 [2 per cell]
V  0.224  0.313  0.026 [4 per cell]
V  0.224  0.523  0.548 [4 per cell]
Fe  0.000  0.849  0.500 [2 per cell]
O  0.102  0.816  0.887 [4 per cell]
O  0.106  0.028  0.431 [4 per cell]
O  0.131  0.694  0.450 [4 per cell]
O  0.145  0.366  0.696 [4 per cell]
O  0.158  0.433  0.213 [4 per cell]
O  0.186  0.116  0.069 [4 per cell]

## Properties
Calculated volume, Å³/atom: 11.1
Total magnetic moment, μB per atom: 0.15
Formation energy (no corrections), meV per atom: -2198.8
D(E_F), states/eV per atom: 0.302
Total DFT energy (no corrections), eV for the cell shown: -320.74

=====

Below is an optimized crystal structure of Li2HgBi2, with properties calculated at the GGA-PBEsol level.

Unit cell a=5.554 b=5.554 c=8.927 alpha=90.00 beta=90.00 gamma=90.00
Space group I4/mmm (No. 139)
Unique sites:
Li  0.000  0.500  0.250 [4 per cell]
Hg  0.000  0.000  0.000 [2 per cell]
Bi  0.000  0.000  0.329 [4 per cell]

## Properties
Energy of formation from the pure elements, meV per atom: -69
Calculated volume, Å³/atom: 27.5
Total magnetic moment, μB per atom: 0.00
Energy relative to the lowest polymorph listed for this composition, eV per atom: 0.1733
D(E_F), states/eV per atom: 0.472
Total DFT energy (no corrections), eV for the cell shown: -26.84

=====

Which of these has the highest D(E_F)? ReAg2As